No. 1
A geometry-optimized Ca7Tl2Zn structure, computed with PBE-GGA.

The space group is C2/c (No. 15) and the conventional cell measures 17.4184, 7.3015 and 11.1568 Å, with angles of 90.00, 112.04 and 90.00 degrees. Symmetry generates all atoms from Ca at (0.0000, 0.0812, 0.2500), Ca at (0.0925, 0.2898, 0.5863), Ca at (0.1311, 0.2145, 0.0294), Ca at (0.1928, 0.4140, 0.3595), Tl at (0.2027, 0.0214, 0.8277) and Zn at (0.0000, 0.4749, 0.7500).

Its magnetic moment is 0.13 μB/f.u. As for the crystal system: monoclinic. As for the total energy: -2.22 eV per atom. As for the density of states at the Fermi level: 1.1615 states/eV/atom. The formation energy from the elements is -0.22 eV/atom.

No. 2
A geometry-optimized Ca6Tl3Zn structure, computed with PBE-GGA.

The space group is P2_1/m (No. 11) and the conventional cell measures 9.4357, 5.5182 and 12.2994 Å, with angles of 90.00, 110.19 and 90.00 degrees. Symmetry generates all atoms from Ca at (0.0213, 0.2500, 0.4149), Ca at (0.1654, 0.7500, 0.1672), Ca at (0.2626, 0.2500, 0.0019), Ca at (0.3477, 0.7500, 0.8240), Ca at (0.3634, 0.2500, 0.3441), Ca at (0.3933, 0.2500, 0.6378), Tl at (0.0301, 0.7500, 0.8770), Tl at (0.1038, 0.2500, 0.7192), Tl at (0.2734, 0.7500, 0.4735) and Zn at (0.4539, 0.7500, 0.0959).

Its magnetic moment is 0.00 μB/f.u. As for the crystal system: monoclinic. As for the total energy: -2.35 eV per atom. As for the density of states at the Fermi level: 0.4774 states/eV/atom. The formation energy from the elements is -0.32 eV/atom.

No. 3
A geometry-optimized Ca2ZrTl structure, computed with PBE-GGA.

The space group is P4mm (No. 99) and the conventional cell measures 3.5097, 3.5097 and 9.8166 Å, with angles of 90.00, 90.00 and 90.00 degrees. Symmetry generates all atoms from Ca at (0.0000, 0.0000, 0.0000), Ca at (0.5000, 0.5000, 0.3220), Zr at (0.5000, 0.5000, 0.7467) and Tl at (0.0000, 0.0000, 0.5476).

Its magnetic moment is 0.00 μB/f.u. As for the crystal system: tetragonal. As for the total energy: -3.70 eV per atom. As for the density of states at the Fermi level: 0.9615 states/eV/atom. The formation energy from the elements is 0.03 eV/atom. For the energy above the most stable polymorph in this dataset, the calculation gives 0 meV/atom.

No. 4
A geometry-optimized CaZr2Tl2 structure, computed with PBE-GGA.

The space group is I4/mmm (No. 139) and the conventional cell measures 4.3624, 4.3624 and 14.2299 Å, with angles of 90.00, 90.00 and 90.00 degrees. Symmetry generates all atoms from Ca at (0.0000, 0.0000, 0.0000), Zr at (0.0000, 0.5000, 0.2500) and Tl at (0.0000, 0.0000, 0.3980).

Its magnetic moment is 0.00 μB/f.u. As for the crystal system: tetragonal. As for the total energy: -4.73 eV per atom. As for the density of states at the Fermi level: 1.1495 states/eV/atom. The formation energy from the elements is 0.04 eV/atom. For the energy above the most stable polymorph in this dataset, the calculation gives 68 meV/atom.